VCrNiF6: optimized geometry, PBE+U.

```
18
Lattice="5.308 0.000 0.000 -2.654 4.597 0.000 0.000 0.000 9.232" Properties=species:S:1:pos:R:3 pbc="T T T"
F 1.711 3.067 5.824
F 0.858 4.545 8.024
F -1.711 3.067 8.024
F -0.858 4.545 5.824
F 0.943 1.530 3.408
F 1.801 3.015 1.208
F 3.512 0.052 3.408
F 1.797 0.052 1.208
F 0.853 1.582 8.024
F 3.507 3.015 3.408
F 4.365 1.530 1.208
F -0.853 1.582 5.824
Cr 0.000 0.000 4.616
Cr 0.000 0.000 0.000
V 2.654 1.532 6.924
V 0.000 3.065 2.308
Ni 2.654 1.532 2.308
Ni 0.000 3.065 6.924
```

Raw total energy ... -5.5607 eV/atom
M_tot ... 1.000 μB per atom